Record 1
## La8Tb2Ho (PBE-GGA)

Data for an optimized crystal structure of La8Tb2Ho.

a = 9.2714 Å, b = 16.8489 Å, c = 6.0750 Å
α = 90.00°, β = 123.85°, γ = 90.00°
Last column: nearest neighbours and their distance in Å.
Space group C2/m (No. 12)
Unique sites:
La 0.0000 0.2054 0.0000 [4 per cell]  1 Ho 3.46, 2 Tb 3.52, 6 La 3.72-3.76
La 0.0800 0.5000 0.7986 [4 per cell]  3 La 3.06-3.29, 1 Ho 3.37
La 0.2144 0.1187 0.6835 [8 per cell]  3 La 3.29-3.65, 2 Tb 3.60-3.63
Tb 0.0000 0.3107 0.5000 [4 per cell]  10 La 3.52-3.89
Ho 0.0000 0.0000 0.0000 [2 per cell]  4 La 3.37-3.46

Results
The calculation puts the polymorph energy (0 for the lowest one) at 106 meV per atom. For the total magnetic moment, the calculation gives 0.0000 μB/atom. Its volume is 35.82 Å³/atom. The value obtained for the total energy is -4.716 eV/atom. Its crystal system is monoclinic. For the energy of formation, the calculation gives 0.126 eV/atom.



Record 2
## NpGaTcPd (PBE-GGA)

Data for an optimized crystal structure of NpGaTcPd.

a = 6.5320 Å, b = 6.5320 Å, c = 6.5320 Å
α = 90.00°, β = 90.00°, γ = 90.00°
Last column: nearest neighbours and their distance in Å.
Space group F-43m (No. 216)
Unique sites:
Np 0.0000 0.0000 0.0000 [4 per cell]  4 Tc 2.83, 4 Pd 2.83
Ga 0.0000 0.0000 0.5000 [4 per cell]  4 Tc 2.83, 4 Pd 2.83
Tc 0.2500 0.2500 0.2500 [4 per cell]  4 Np 2.83, 4 Ga 2.83
Pd 0.2500 0.2500 0.7500 [4 per cell]  4 Np 2.83, 4 Ga 2.83

Results
For the total magnetic moment, the calculation gives 0.7258 μB/atom. Its volume is 17.42 Å³/atom. The value obtained for the total energy is -8.017 eV/atom. Its crystal system is cubic. For the energy of formation, the calculation gives -0.135 eV/atom.



Record 3
## NdEr2Tm5Sc (PBE-GGA)

Data for an optimized crystal structure of NdEr2Tm5Sc.

a = 5.5042 Å, b = 19.5265 Å, c = 10.2822 Å
α = 90.00°, β = 90.00°, γ = 90.00°
Last column: nearest neighbours and their distance in Å.
Space group Cmc2_1 (No. 36)
Unique sites:
Nd 0.0000 0.0864 0.0000 [4 per cell]  5 Tm 2.99-3.21
Er 0.0000 0.3864 0.2825 [4 per cell]  1 Sc 3.30, 7 Tm 3.38-3.62, 2 Nd 3.59
Er 0.0000 0.3888 0.8628 [4 per cell]  9 Tm 3.24-3.52, 1 Sc 3.51
Tm 0.0000 0.0200 0.2856 [4 per cell]  2 Nd 3.03-3.21, 2 Er 3.37
Tm 0.0000 0.1218 0.5687 [4 per cell]  4 Er 3.48-3.53, 6 Tm 3.53-3.88, 1 Sc 3.54
Tm 0.0000 0.2018 0.2545 [4 per cell]  4 Tm 3.33-3.59, 3 Sc 3.39-3.73, 1 Nd 3.45, 3 Er 3.46-3.62
Tm 0.0000 0.2231 0.8693 [4 per cell]  1 Nd 2.99, 1 Er 3.24, 2 Tm 3.33
Tm 0.0000 0.4816 0.5692 [4 per cell]  2 Nd 3.14, 3 Er 3.30-3.49, 1 Sc 3.49
Sc 0.0000 0.3032 0.5620 [4 per cell]  2 Er 3.30-3.51, 7 Tm 3.39-3.54, 2 Nd 3.55

Results
For the total magnetic moment, the calculation gives 0.0001 μB/atom. Its volume is 30.70 Å³/atom. The value obtained for the total energy is -4.554 eV/atom. Its crystal system is orthorhombic. For the energy of formation, the calculation gives 0.178 eV/atom.



Record 4
## Nd2SmDy3Te6 (PBE-GGA)

Data for an optimized crystal structure of Nd2SmDy3Te6.

a = 19.3270 Å, b = 4.3765 Å, c = 8.9202 Å
α = 90.00°, β = 104.31°, γ = 90.00°
Last column: nearest neighbours and their distance in Å.
Space group C2/m (No. 12)
Unique sites:
Nd 0.1673 0.0000 0.3341 [4 per cell]  6 Te 3.17-3.19
Sm 0.0000 0.5000 0.0000 [2 per cell]  6 Te 3.14-3.16
Dy 0.0000 0.5000 0.5000 [2 per cell]  6 Te 3.06-3.09
Dy 0.1682 0.0000 0.8335 [4 per cell]  6 Te 3.07-3.09
Te 0.0031 0.0000 0.7464 [4 per cell]  3 Dy 3.09, 2 Sm 3.16, 1 Nd 3.19
Te 0.1636 0.5000 0.5899 [4 per cell]  3 Dy 3.06-3.07, 3 Nd 3.17
Te 0.1677 0.5000 0.0755 [4 per cell]  3 Dy 3.07-3.08, 1 Sm 3.14, 2 Nd 3.18

Results
For the total magnetic moment, the calculation gives 0.0000 μB/atom. Its volume is 30.46 Å³/atom. The value obtained for the total energy is -5.257 eV/atom. Its crystal system is monoclinic.



Record 5
## KSi2Hg (PBE-GGA)

Data for an optimized crystal structure of KSi2Hg.

a = 5.0052 Å, b = 5.0052 Å, c = 7.4289 Å
α = 90.00°, β = 90.00°, γ = 90.00°
Last column: nearest neighbours and their distance in Å.
Space group I-4m2 (No. 119)
Unique sites:
K 0.0000 0.0000 0.0000 [2 per cell]  4 Hg 3.12, 4 Si 3.12
Si 0.0000 0.0000 0.5000 [2 per cell]  4 Hg 3.12, 4 Si 3.12
Si 0.0000 0.5000 0.7500 [2 per cell]  4 K 3.12, 4 Si 3.12
Hg 0.0000 0.5000 0.2500 [2 per cell]  4 K 3.12, 4 Si 3.12

Results
For the total magnetic moment, the calculation gives 0.0000 μB/atom. Its volume is 23.26 Å³/atom. The value obtained for the total energy is -2.501 eV/atom. Its crystal system is tetragonal.